Entry 1:
# PmZnMoO4

A relaxed PmZnMoO4 crystal (PBE with a Hubbard U, the Alexandria database).

Computed properties:
Space group: Imma (74)
Theoretical density in g/cm3: 6.15
Electronic total energy in eV/cell: -95.02

The structure in extended XYZ format:
```
14
Lattice="-3.2362 3.3796 4.5726 3.2362 -3.3796 4.5726 3.2362 3.3796 -4.5726" Properties=species:S:1:pos:R:3 pbc="T T T"
Pm 0.0000 0.0000 0.0000
Pm 0.0000 3.3796 0.0000
Zn 3.2362 1.6898 1.0414
Zn 0.0000 1.6898 3.5312
Mo 1.6181 1.6898 -2.2863
Mo 1.6181 -1.6898 2.2863
O 3.2362 -0.1703 2.2176
O 3.2362 3.2093 -2.2176
O 1.5973 1.6898 -0.0970
O 1.6389 -1.6898 4.4756
O 1.5973 5.0694 0.0970
O 1.6389 1.6898 4.6696
O 0.0000 0.1703 6.7902
O 0.0000 3.5499 2.3550
```

***

Entry 2:
# PmZrMoO6

A relaxed PmZrMoO6 crystal (PBE with a Hubbard U, the Alexandria database).

Computed properties:
Space group: P-31c (163)
Theoretical density in g/cm3: 5.89
N(E_F) in states/eV/cell: 5.47
Electronic total energy in eV/cell: -146.33

The structure in extended XYZ format:
```
18
Lattice="5.5222 0.0000 0.0000 -2.7611 4.7824 0.0000 0.0000 0.0000 9.1484" Properties=species:S:1:pos:R:3 pbc="T T T"
Pm 0.0000 3.1883 2.2871
Pm 2.7611 1.5941 6.8613
Zr 0.0000 0.0000 0.0000
Zr 0.0000 0.0000 4.5742
Mo 0.0000 3.1883 6.8613
Mo 2.7611 1.5941 2.2871
O -0.6924 1.6778 5.7319
O -1.6543 3.3439 7.9907
O 0.6924 1.6778 7.9907
O -0.9619 4.5431 5.7319
O 1.7992 0.2393 1.1577
O 1.1068 1.4385 3.4165
O 1.6543 3.3439 5.7319
O 0.9619 4.5431 7.9907
O 3.7230 0.2393 3.4165
O 2.0688 3.1046 1.1577
O 4.4154 1.4385 1.1577
O 3.4535 3.1046 3.4165
```

***

Entry 3:
# PmZr2MoO8

A relaxed PmZr2MoO8 crystal (PBE with a Hubbard U, the Alexandria database).

Computed properties:
Space group: Cmmm (65)
Theoretical density in g/cm3: 5.56
Electronic total energy in eV/cell: -102.40

The structure in extended XYZ format:
```
12
Lattice="3.4911 -3.5410 0.0000 3.4911 3.5410 0.0000 0.0000 0.0000 6.6579" Properties=species:S:1:pos:R:3 pbc="T T T"
Pm 0.0000 0.0000 0.0000
Zr 3.4911 0.0000 1.6910
Zr 3.4911 0.0000 4.9668
Mo 0.0000 0.0000 3.3289
O 1.3806 0.0000 1.9078
O 1.3806 0.0000 4.7500
O 3.4911 1.4484 3.3289
O 3.4911 1.2643 0.0000
O 3.4911 -1.2643 0.0000
O 3.4911 -1.4484 3.3289
O 5.6017 0.0000 1.9078
O 5.6017 0.0000 4.7500
```

***

Entry 4:
# Pr4Mo6O19

A relaxed Pr4Mo6O19 crystal (PBE with a Hubbard U, the Alexandria database).

Computed properties:
Space group: I23 (197)
Theoretical density in g/cm3: 6.38
N(E_F) in states/eV/cell: 2.14
Electronic total energy in eV/cell: -219.37

The structure in extended XYZ format:
```
29
Lattice="-4.5454 4.5454 4.5454 4.5454 -4.5454 4.5454 4.5454 4.5454 -4.5454" Properties=species:S:1:pos:R:3 pbc="T T T"
Pr 3.1257 3.1257 -3.1257
Pr 3.1257 -3.1257 3.1257
Pr 1.4197 1.4197 1.4197
Pr -3.1257 3.1257 3.1257
Mo 4.5454 0.0000 1.2763
Mo 4.5454 3.2691 0.0000
Mo 1.2763 4.5454 0.0000
Mo 3.2691 0.0000 4.5454
Mo 0.0000 1.2763 4.5454
Mo 0.0000 4.5454 3.2691
O 0.0000 0.0000 0.0000
O 2.9355 0.0000 0.0000
O 6.1553 0.0000 0.0000
O 4.9234 1.9328 -1.5247
O 3.0207 -0.3780 2.6125
O 2.6125 3.0207 -0.3780
O 0.0000 2.9355 0.0000
O 0.0000 0.0000 2.9355
O 6.0701 0.3780 2.6125
O 1.9328 -1.5247 4.9234
O 4.1673 1.9328 1.5247
O -0.3780 2.6125 3.0207
O 1.9328 1.5247 4.1673
O 1.5247 4.1673 1.9328
O 0.0000 6.1553 0.0000
O 0.0000 0.0000 6.1553
O 2.6125 6.0701 0.3780
O -1.5247 4.9234 1.9328
O 0.3780 2.6125 6.0701
```

***

Entry 5:
# PrMoO4

A relaxed PrMoO4 crystal (PBE with a Hubbard U, the Alexandria database).

Computed properties:
Space group: I4_1/amd (141)
Theoretical density in g/cm3: 5.10
Electronic total energy in eV/cell: -92.01

The structure in extended XYZ format:
```
12
Lattice="-3.7789 3.7789 3.4285 3.7789 -3.7789 3.4285 3.7789 3.7789 -3.4285" Properties=species:S:1:pos:R:3 pbc="T T T"
Pr 3.7789 1.8894 0.8571
Pr 0.0000 1.8894 2.5714
Mo 3.7789 -1.8894 2.5714
Mo 0.0000 5.6683 0.8571
O 3.7789 -0.5158 1.3082
O 3.7789 3.2630 -1.3082
O 1.3736 1.8894 0.4061
O 2.4053 -1.8894 3.8346
O 1.3736 5.6683 -0.4061
O 2.4053 1.8894 3.0225
O 0.0000 0.5158 4.7367
O 0.0000 4.2947 2.1203
```

***

Entry 6:
# Pr3MoO6

A relaxed Pr3MoO6 crystal (PBE with a Hubbard U, the Alexandria database).

Computed properties:
Energy above the most stable polymorph in this dataset in eV/atom: 0.000
Space group: R-3 (148)
Theoretical density in g/cm3: 6.18
N(E_F) in states/eV/cell: 0.00

The structure in extended XYZ format:
```
20
Lattice="5.0091 2.8920 3.7993 -5.0091 2.8920 3.7993 0.0000 -5.7840 3.7993" Properties=species:S:1:pos:R:3 pbc="T T T"
Pr -3.4723 -0.9337 5.2719
Pr -0.9275 -3.4740 6.1261
Pr -2.5448 2.5402 6.1261
Pr 2.5448 -2.5403 5.2719
Pr 0.9275 3.4740 5.2719
Pr 3.4723 0.9337 6.1261
Mo 0.0000 0.0000 0.0000
Mo 0.0000 0.0000 5.6990
O -3.3033 -3.1322 6.2617
O -4.3642 1.2946 5.1363
O -1.1895 -1.5494 4.6235
O 1.0609 -4.4268 5.1363
O -1.9366 0.2554 6.7745
O -0.7471 1.8048 4.6235
O 0.7471 -1.8048 6.7745
O 1.9366 -0.2554 4.6235
O -1.0609 4.4268 6.2617
O 1.1895 1.5494 6.7745
O 4.3642 -1.2946 6.2617
O 3.3033 3.1322 5.1363
```

***

Entry 7:
# PrMoO5

A relaxed PrMoO5 crystal (PBE with a Hubbard U, the Alexandria database).

Computed properties:
Energy above the most stable polymorph in this dataset in eV/atom: 0.000
Space group: P2_1/c (14)
Theoretical density in g/cm3: 4.56
N(E_F) in states/eV/cell: 0.00

The structure in extended XYZ format:
```
28
Lattice="5.4792 0.0000 0.0000 0.0000 13.0745 0.0000 -3.2008 0.0000 6.4445" Properties=species:S:1:pos:R:3 pbc="T T T"
Pr -0.0374 0.8358 1.8252
Pr -1.6378 5.7015 5.0474
Pr 3.9162 7.3731 1.3970
Pr 2.3158 12.2387 4.6193
Mo -0.4743 1.7497 5.4859
Mo 1.1261 4.7876 2.2636
Mo 1.1523 8.2869 4.1808
Mo 2.7527 11.3248 0.9586
O -2.9149 7.2332 6.3535
O -1.3144 12.3786 3.1313
O -1.9098 0.7647 6.1283
O -0.3094 5.7726 2.9061
O 0.6194 3.1837 1.6974
O -0.9810 3.3535 4.9197
O 0.1649 8.5887 2.7505
O -1.4355 11.0231 5.9728
O -0.0049 7.5213 5.3901
O 1.5955 12.0905 2.1678
O 0.6828 0.9841 4.2766
O 2.2832 5.5532 1.0544
O 3.7138 2.0514 0.4717
O 2.1134 4.4858 3.6939
O 3.2593 9.7210 1.5248
O 1.6589 9.8908 4.7470
O 2.5877 7.3019 3.5383
O 4.1881 12.3099 0.3161
O 3.5928 0.6959 3.3131
O 5.1932 5.8414 0.0909
```

***

Entry 8:
# Pr3Mo5O12

A relaxed Pr3Mo5O12 crystal (PBE with a Hubbard U, the Alexandria database).

Computed properties:
Space group: Ia-3d (230)
Theoretical density in g/cm3: 6.01
Electronic total energy in eV/cell: -604.16

The structure in extended XYZ format:
```
80
Lattice="-6.7110 6.7110 6.7110 6.7110 -6.7110 6.7110 6.7110 6.7110 -6.7110" Properties=species:S:1:pos:R:3 pbc="T T T"
Pr 3.3555 1.6778 0.0000
Pr 6.7110 3.3555 -1.6778
Pr 1.6778 0.0000 3.3555
Pr 8.3888 0.0000 3.3555
Pr 0.0000 3.3555 1.6778
Pr 3.3555 -1.6778 6.7110
Pr 3.3555 8.3888 0.0000
Pr 6.7110 3.3555 5.0333
Pr -1.6778 6.7110 3.3555
Pr 5.0333 6.7110 3.3555
Pr 0.0000 3.3555 8.3888
Pr 3.3555 5.0333 6.7110
Mo 0.0000 0.0000 0.0000
Mo 3.3555 3.3555 -3.3555
Mo 3.3555 -3.3555 3.3555
Mo 6.7110 0.0000 0.0000
Mo 10.0665 1.6778 0.0000
Mo 6.7110 -3.3555 5.0333
Mo 5.0333 6.7110 -3.3555
Mo 5.0333 0.0000 3.3555
Mo 3.3555 5.0333 0.0000
Mo 6.7110 3.3555 1.6778
Mo -3.3555 3.3555 3.3555
Mo 0.0000 6.7110 0.0000
Mo 0.0000 0.0000 6.7110
Mo 3.3555 3.3555 3.3555
Mo 0.0000 3.3555 5.0333
Mo 3.3555 1.6778 6.7110
Mo 1.6778 6.7110 3.3555
Mo 1.6778 0.0000 10.0665
Mo 0.0000 10.0665 1.6778
Mo -3.3555 5.0333 6.7110
O 2.0573 -0.2398 0.6988
O 8.0092 4.0543 -3.5953
O 8.7683 0.2398 0.6988
O 8.0092 -2.6567 3.5953
O 6.4712 -0.6988 2.0573
O 10.3063 -1.2982 2.6567
O 0.6988 2.0573 -0.2398
O 9.3677 3.1157 -1.2982
O 4.0543 3.5953 -1.2982
O 6.0122 2.0573 0.2398
O -0.2398 0.6988 2.0573
O 3.5953 -1.2982 4.0543
O 6.4712 6.0122 -2.0573
O 3.5953 1.2982 2.6567
O 4.0543 -3.5953 8.0092
O 6.0122 -2.0573 6.4712
O 2.6567 3.5953 1.2982
O 7.4098 4.6537 0.2398
O 3.5953 8.0092 -2.6567
O 6.4712 0.6988 4.6537
O 2.0573 6.4712 -0.6988
O 8.0092 2.6567 3.1157
O 1.2982 2.6567 3.5953
O 2.0573 0.2398 6.0122
O 4.6537 6.4712 0.6988
O 5.4128 4.0543 3.1157
O -1.2982 4.0543 3.5953
O 4.6537 0.2398 7.4098
O 0.2398 6.0122 2.0573
O 3.1157 -1.2982 9.3677
O -0.6988 2.0573 6.4712
O 4.0543 3.1157 5.4128
O 0.6988 8.7683 0.2398
O 2.6567 10.3063 -1.2982
O 3.1157 5.4128 4.0543
O 0.2398 0.6988 8.7683
O 3.1157 8.0092 2.6567
O 6.9508 6.0122 4.6537
O 0.6988 4.6537 6.4712
O 2.6567 3.1157 8.0092
O -2.6567 3.5953 8.0092
O 6.0122 4.6537 6.9508
O -3.5953 8.0092 4.0543
O 0.2398 7.4098 4.6537
O -1.2982 9.3677 3.1157
O -2.0573 6.4712 6.0122
O -1.2982 2.6567 10.3063
O 4.6537 6.9508 6.0122
```

***

Entry 9:
# Pr2MoO6

A relaxed Pr2MoO6 crystal (PBE with a Hubbard U, the Alexandria database).

Computed properties:
Space group: P2_1/c (14)
Theoretical density in g/cm3: 5.71
N(E_F) in states/eV/cell: 0.00
Electronic total energy in eV/cell: -140.06

The structure in extended XYZ format:
```
18
Lattice="5.6105 0.0000 0.0000 0.0000 6.1195 0.0000 -4.7709 0.0000 8.0283" Properties=species:S:1:pos:R:3 pbc="T T T"
Pr -0.0227 0.4968 1.9345
Pr -2.4081 2.5630 5.9487
Pr 3.2477 3.5565 2.0796
Pr 0.8622 5.6228 6.0938
Mo 2.8052 0.0000 0.0000
Mo 0.4198 3.0598 4.0141
O -3.6008 0.9989 7.6446
O -1.2154 2.0608 3.6305
O -2.8315 4.5205 7.2889
O -0.4460 4.6588 3.2747
O -1.2961 0.4674 6.2809
O 1.0893 2.5923 2.2667
O -0.2497 3.5272 5.7615
O 2.1357 5.6521 1.7474
O 1.2856 1.4608 4.7535
O 3.6711 1.5990 0.7394
O 2.0550 4.0587 4.3978
O 4.4404 5.1206 0.3837
```

***

Entry 10:
# Pr2MoO6

A relaxed Pr2MoO6 crystal (PBE with a Hubbard U, the Alexandria database).

Computed properties:
Space group: P4_2/mnm (136)
Theoretical density in g/cm3: 5.64
N(E_F) in states/eV/cell: 0.00
Electronic total energy in eV/cell: -138.78

The structure in extended XYZ format:
```
18
Lattice="5.1786 0.0000 0.0000 0.0000 5.1786 0.0000 0.0000 0.0000 10.4110" Properties=species:S:1:pos:R:3 pbc="T T T"
Pr 0.0000 0.0000 1.7532
Pr 0.0000 0.0000 8.6578
Pr 2.5893 2.5893 3.4523
Pr 2.5893 2.5893 6.9587
Mo 0.0000 0.0000 5.2055
Mo 2.5893 2.5893 0.0000
O 0.9342 0.9342 3.7474
O 0.9342 0.9342 6.6636
O 1.2126 1.2126 0.0000
O 1.3767 3.8018 5.2055
O 1.6551 3.5235 1.4581
O 1.6551 3.5235 8.9529
O 3.5235 1.6551 1.4581
O 3.5235 1.6551 8.9529
O 3.8018 1.3767 5.2055
O 3.9660 3.9660 0.0000
O 4.2444 4.2444 3.7474
O 4.2444 4.2444 6.6636
```

***

Entry 11:
# Pr2MoO5

A relaxed Pr2MoO5 crystal (PBE with a Hubbard U, the Alexandria database).

Computed properties:
Space group: Pnma (62)
Theoretical density in g/cm3: 7.32
N(E_F) in states/eV/cell: 0.00
Electronic total energy in eV/cell: -252.46

The structure in extended XYZ format:
```
32
Lattice="9.9282 0.0000 0.0000 0.0000 6.8567 0.0000 0.0000 0.0000 6.1033" Properties=species:S:1:pos:R:3 pbc="T T T"
Pr 1.7016 0.0132 0.2509
Pr 1.7016 3.4151 0.2509
Pr 3.2625 3.4416 3.3026
Pr 3.2625 6.8435 3.3026
Pr 6.6657 0.0132 2.8008
Pr 6.6657 3.4151 2.8008
Pr 8.2266 3.4416 5.8524
Pr 8.2266 6.8435 5.8524
Mo 0.0028 1.7142 3.3662
Mo 9.9254 5.1425 2.7372
Mo 4.9669 1.7142 5.7888
Mo 4.9613 5.1425 0.3145
O 0.0516 1.7142 5.6193
O 0.8074 3.6460 4.0246
O 0.8074 6.6390 4.0246
O 1.8186 1.7142 2.1527
O 2.0265 5.1425 2.0199
O 2.9376 1.7142 5.0716
O 3.1455 5.1425 5.2044
O 4.1566 0.2177 0.9730
O 4.1566 3.2107 0.9730
O 4.9125 5.1425 2.5676
O 5.0157 1.7142 3.5357
O 5.7715 3.6460 5.1304
O 5.7715 6.6390 5.1304
O 6.7827 1.7142 0.8990
O 6.9906 5.1425 1.0318
O 7.9017 1.7142 4.0834
O 8.1096 5.1425 3.9506
O 9.1207 0.2177 2.0787
O 9.1207 3.2107 2.0787
O 9.8766 5.1425 0.4841
```

***

Entry 12:
# PrMo2O6

A relaxed PrMo2O6 crystal (PBE with a Hubbard U, the Alexandria database).

Computed properties:
Energy above the most stable polymorph in this dataset in eV/atom: 0.033
Space group: P1 (1)
Theoretical density in g/cm3: 5.72

The structure in extended XYZ format:
```
18
Lattice="5.5254 0.0000 0.0000 -0.0082 5.6842 0.0000 -0.0586 -0.0661 7.9322" Properties=species:S:1:pos:R:3 pbc="T T T"
Pr 0.0000 0.0000 0.0000
Pr 2.7084 2.1800 3.9544
Mo -0.0138 2.5415 5.9346
Mo 0.0193 2.5812 1.9542
Mo 2.7440 5.2886 5.9580
Mo 2.7938 5.3129 2.0009
O 0.3217 2.3603 7.9312
O 1.2406 0.9252 2.2271
O 1.2266 0.9219 5.6795
O 1.5852 3.6201 2.3341
O 1.7090 3.7242 5.5975
O 2.2682 5.2267 7.9235
O 3.1192 5.4619 3.9619
O 3.9302 1.1531 6.2116
O 4.0655 1.3355 1.7530
O 4.4345 4.2114 1.6184
O 4.4091 4.1743 6.3123
O 5.0512 2.6006 3.9700
```